(1)
12
Lattice="7.919 -2.382 0.000 7.919 2.382 0.000 -4.116 0.000 13.319" Properties=species:S:1:pos:R:3 comment="Ac7Sn5 | Alexandria via LeMat-Bulk | GGA-PBE | relaxed" formation_enthalpy_0k_kj_per_mol_atoms=-51 vol_a3_per_cell=502.38 spacegroup="C2/m, No. 12" pbc="T T T"
Ac 0.000 0.000 0.000
Ac 0.265 0.000 7.246
Ac 0.223 0.000 11.359
Ac 4.206 0.000 9.526
Ac 7.515 0.000 3.793
Ac 11.499 0.000 1.960
Ac 11.457 0.000 6.073
Sn 1.960 0.000 4.001
Sn 5.773 0.000 1.007
Sn 5.861 0.000 6.660
Sn 5.948 0.000 12.312
Sn 9.762 0.000 9.318

(2)
6
Lattice="3.046 0.000 0.000 0.000 3.046 0.000 0.000 0.000 11.981" Properties=species:S:1:pos:R:3 comment="UMnAu | Alexandria via LeMat-Bulk | GGA-PBE | relaxed" formation_enthalpy_0k_kj_per_mol_atoms=4 vol_a3_per_cell=111.16 spacegroup="I4mm, No. 107" pbc="T T T"
U 0.000 0.000 0.000
U 1.523 1.523 5.991
Mn 0.000 0.000 4.068
Mn 1.523 1.523 10.058
Au 0.000 0.000 8.349
Au 1.523 1.523 2.359